[1]
15
Lattice="7.284 0.072 3.332 2.168 6.954 3.332 0.096 0.072 8.009" Properties=species:S:1:pos:R:3 comment="PBE Pr8NdIr6, optimized geometry" e_form_ev_per_atom=-0.5482 spacegroup="R-3 (148)" pbc="T T T"
Pr 2.551 5.459 6.531
Pr 6.367 4.732 9.783
Ir 1.337 2.772 7.304
Pr 2.898 3.943 9.696
Pr 3.182 2.365 4.890
Pr 3.556 0.869 8.097
Ir 5.125 2.020 10.492
Pr 6.998 1.638 8.143
Ir 4.102 6.616 8.936
Pr 6.651 3.155 4.977
Ir 8.211 4.325 7.369
Nd 0.000 0.000 0.000
Ir 5.447 0.482 5.738
Pr 5.993 6.228 6.577
Ir 4.424 5.077 4.181

[2]
3
Lattice="-2.197 0.946 1.610 -1.363 -2.557 2.231 1.344 0.502 4.118" Properties=species:S:1:pos:R:3 comment="PBE POsN, optimized geometry" spacegroup="Cm (8)" de_polymorph_mev_per_atom=462 raw_formation_energy_ev_per_atom=0.58 pbc="T T T"
P -2.152 -1.009 6.709
N -1.063 -0.818 2.914
Os -0.205 -0.216 1.154

[3]
4
Lattice="4.539 0.000 0.000 2.270 3.931 0.000 2.270 1.310 3.706" Properties=species:S:1:pos:R:3 comment="PBE DyMgCoNi, optimized geometry" e_form_ev_per_atom=-0.1190 spacegroup="F-43m (216)" pbc="T T T"
Ni 0.000 0.000 0.000
Co 4.539 2.621 1.853
Dy 6.809 3.931 2.780
Mg 2.270 1.310 0.927

[4]
11
Lattice="-4.094 -1.098 -4.318 -3.391 -5.005 0.249 -6.776 1.029 1.924" Properties=species:S:1:pos:R:3 comment="PBE Sr2LaOs2N6, optimized geometry" spacegroup="R-3m (166)" raw_formation_energy_ev_per_atom=-0.42 pbc="T T T"
N -5.392 -3.678 -0.321
Sr -10.173 -4.180 -2.009
Os -8.337 -1.674 -0.148
N -6.831 -0.850 0.325
N -8.520 -3.342 0.449
N -7.430 -4.225 -2.470
La 0.000 0.000 0.000
Os -5.924 -3.401 -1.997
N -8.870 -1.396 -1.824
N -5.742 -1.733 -2.594
Sr -4.088 -0.895 -0.136

[5]
4
Lattice="5.684 0.000 0.000 2.842 4.922 0.000 2.842 1.641 4.641" Properties=species:S:1:pos:R:3 comment="PBE LaTm2Th, optimized geometry" e_form_ev_per_atom=0.0968 spacegroup="Fm-3m (225)" de_polymorph_mev_per_atom=86 pbc="T T T"
Th 0.000 0.000 0.000
Tm 8.526 4.922 3.481
La 5.684 3.282 2.320
Tm 2.842 1.641 1.160

[6]
5
Lattice="-3.569 -1.862 -3.178 1.114 -4.527 1.401 -3.492 0.300 3.746" Properties=species:S:1:pos:R:3 comment="PBE SrPdPt2Rh, optimized geometry" e_form_ev_per_atom=1.7688 spacegroup="P4/mmm (123)" pbc="T T T"
Sr 0.000 0.000 0.000
Rh 0.557 -2.264 0.700
Pt -1.746 0.150 1.873
Pt -1.785 -0.931 -1.589
Pd -2.973 -3.045 0.984

[7]
12
Lattice="-4.087 -1.408 -0.849 1.991 -0.587 -8.612 4.329 -8.003 3.865" Properties=species:S:1:pos:R:3 comment="PBE CaTb3Sm2Te6, optimized geometry" spacegroup="C2/m (12)" raw_formation_energy_ev_per_atom=-1.39 pbc="T T T"
Tb -1.048 -0.998 -4.730
Te 3.361 -6.353 -5.640
Sm 1.471 -3.199 -1.773
Te -0.134 -3.881 -4.349
Te -1.128 -3.646 0.045
Tb -0.185 -6.576 0.366
Ca -2.044 -0.704 -0.425
Sm 0.763 -6.800 -3.823
Te 1.491 -0.440 -6.449
Te 0.742 -9.558 0.854
Te 2.367 -6.117 -1.247
Tb 2.418 -3.422 -5.962

[8]
4
Lattice="-1.565 -3.560 0.256 3.490 -1.467 0.933 -1.208 0.963 5.996" Properties=species:S:1:pos:R:3 comment="PBE SrMn2Se, optimized geometry" spacegroup="Pm (6)" raw_formation_energy_ev_per_atom=-0.13 pbc="T T T"
Mn 0.319 -2.166 1.498
Se 0.753 -0.107 3.110
Sr 1.429 -2.392 5.135
Mn 2.845 -1.119 1.838

Going through the records in order, we get size of the total moment values of 0.000 0.000 0.001 0.000 0.000 0.746 0.000 8.061 μB/cell.
Going through the records in order, we get density of states at the Fermi level values of 10.63 0.65 2.99 4.45 6.31 5.59 5.84 3.03 states/eV/f.u..